# 1
VASP calculation (PBE-GGA) on an optimized crystal structure of Sr2BePt.

SG: P4mm
DFT formation energy (eV/atom): 0.10

Cell: 4.418 4.418 6.184 Å, 90.00 90.00 90.00°
Element x y z (fractional)
Sr (0.000, 0.000, 0.000)
Sr (0.500, 0.500, 0.499)
Be (0.500, 0.500, 0.999)
Pt (0.000, 0.000, 0.500)

---

# 2
VASP calculation (PBE-GGA) on an optimized crystal structure of Mg2CdIr.

SG: P2/m
DFT formation energy (eV/atom): -0.27

Cell: 3.174 3.177 7.249 Å, 90.00 90.11 90.00°
Element x y z (fractional)
Mg (0.000, 0.000, 0.205)
Mg (0.000, 0.000, 0.795)
Cd (0.500, 0.500, 0.500)
Ir (0.500, 0.500, 0.000)

---

# 3
VASP calculation (PBE-GGA) on an optimized crystal structure of K2LiLa.

SG: I4/mmm
DFT formation energy (eV/atom): 0.48

Cell: 7.676 7.676 7.676 Å, 141.00 141.00 56.34°
Element x y z (fractional)
K (0.250, 0.750, 0.500)
K (0.750, 0.250, 0.500)
Li (0.000, 0.000, 0.000)
La (0.500, 0.500, 0.000)

---

# 4
VASP calculation (PBE-GGA) on an optimized crystal structure of Li2In2Sn.

SG: I4/mmm
Distance to the lowest polymorph of the same formula (eV per atom): 0.1373
DFT formation energy (eV/atom): -0.09

Cell: 7.507 7.507 7.507 Å, 148.11 148.11 45.72°
Element x y z (fractional)
Li (0.250, 0.750, 0.500)
Li (0.750, 0.250, 0.500)
In (0.104, 0.104, 0.000)
In (0.896, 0.896, 0.000)
Sn (0.500, 0.500, 0.000)

---

# 5
VASP calculation (PBE-GGA) on an optimized crystal structure of La4Zn2Co.

SG: P2_1/m
Distance to the lowest polymorph of the same formula (eV per atom): 0.0000
DFT formation energy (eV/atom): -0.18

Cell: 7.072 7.015 8.452 Å, 90.00 113.52 90.00°
Element x y z (fractional)
La (0.152, 0.018, 0.280)
La (0.152, 0.482, 0.280)
La (0.284, 0.750, 0.651)
La (0.313, 0.250, 0.906)
La (0.687, 0.750, 0.094)
La (0.716, 0.250, 0.349)
La (0.848, 0.518, 0.720)
La (0.848, 0.982, 0.720)
Zn (0.217, 0.750, 0.009)
Zn (0.456, 0.250, 0.607)
Zn (0.544, 0.750, 0.393)
Zn (0.783, 0.250, 0.991)
Co (0.090, 0.250, 0.602)
Co (0.910, 0.750, 0.398)

---

# 6
VASP calculation (PBE-GGA) on an optimized crystal structure of MnSbAu2.

SG: C2/m

Cell: 4.593 4.593 5.809 Å, 100.90 100.90 42.16°
Element x y z (fractional)
Mn (0.000, 0.000, 0.000)
Sb (0.500, 0.500, 0.500)
Au (0.262, 0.262, 0.787)
Au (0.738, 0.738, 0.213)

---

| no. | calculated total energy (Ha/atom) |
| --- | --- |
| 1 | -0.1171 |
| 2 | -0.1291 |
| 3 | -0.0655 |
| 4 | -0.1010 |
| 5 | -0.1606 |
| 6 | -0.1801 |